VASP calculation (GGA-PBE) on a relaxed RbDyNiCl6 crystal.

Cell: 6.6220 6.6220 7.3970 Å, 90.00 90.00 120.00°
Last column: nearest neighbours and their distance in Å.
Space group P312 (No. 149)
Asymmetric unit:
1 Rb 0.0000 0.0000 0.0000 (multiplicity 1)  6 Cl 3.34
2 Dy 0.6667 0.3333 0.5000 (multiplicity 1)  6 Cl 2.65
3 Ni 0.3333 0.6667 0.5000 (multiplicity 1)  6 Cl 2.44
4 Cl 0.0246 0.3834 0.6951 (multiplicity 6)  1 Ni 2.44, 1 Dy 2.65

Properties
The value obtained for the uncorrected formation energy is -1652 meV/atom.